(1)
# LiDyY2Hg4, optimized geometry, DFT PBE
# DOS at the Fermi energy	0.894	states/eV per atom
# electronic total energy	-0.112	Ha/atom
# energy of formation from the pure elements	-466	meV per atom
data_LiDyY2Hg4
_cell_length_a 5.152
_cell_length_b 5.152
_cell_length_c 9.037
_cell_angle_alpha 73.44
_cell_angle_beta 73.44
_cell_angle_gamma 60.00
_space_group_name_H-M_alt 'P 1'
_space_group_IT_number 1
loop_
_space_group_symop_operation_xyz
'x,y,z'
loop_
_atom_site_label
_atom_site_type_symbol
_atom_site_fract_x
_atom_site_fract_y
_atom_site_fract_z
_atom_site_occupancy
Li1 Li 0.500 0.500 0.500 1
Dy1 Dy 0.000 0.000 0.000 1
Y1 Y 0.755 0.755 0.735 1
Y2 Y 0.245 0.245 0.265 1
Hg1 Hg 0.377 0.377 0.870 1
Hg2 Hg 0.875 0.875 0.376 1
Hg3 Hg 0.125 0.125 0.624 1
Hg4 Hg 0.623 0.623 0.130 1

(2)
# PaSi2Os2Ru, optimized geometry, DFT PBE
# DOS at the Fermi energy	1.266	states/eV per atom
# electronic total energy	-0.304	Ha/atom
# formation energy from raw total energies	39	kJ per mole of atoms
data_PaSi2Os2Ru
_cell_length_a 3.724
_cell_length_b 3.724
_cell_length_c 9.586
_cell_angle_alpha 101.20
_cell_angle_beta 101.20
_cell_angle_gamma 90.00
_space_group_name_H-M_alt 'P 1'
_space_group_IT_number 1
loop_
_space_group_symop_operation_xyz
'x,y,z'
loop_
_atom_site_label
_atom_site_type_symbol
_atom_site_fract_x
_atom_site_fract_y
_atom_site_fract_z
_atom_site_occupancy
Pa1 Pa 0.500 0.500 0.000 1
Si1 Si 0.661 0.661 0.323 1
Si2 Si 0.339 0.339 0.677 1
Os1 Os 0.250 0.750 0.500 1
Os2 Os 0.750 0.250 0.500 1
Ru1 Ru 0.000 0.000 0.000 1

(3)
# LiAc2BeIr2, optimized geometry, DFT PBE
# DOS at the Fermi energy	0.375	states/eV per atom
# electronic total energy	-0.210	Ha/atom
# energy of formation from the pure elements	-438	meV per atom
data_LiAc2BeIr2
_cell_length_a 6.044
_cell_length_b 5.965
_cell_length_c 8.322
_cell_angle_alpha 111.00
_cell_angle_beta 111.29
_cell_angle_gamma 90.00
_space_group_name_H-M_alt 'P 1'
_space_group_IT_number 1
loop_
_space_group_symop_operation_xyz
'x,y,z'
loop_
_atom_site_label
_atom_site_type_symbol
_atom_site_fract_x
_atom_site_fract_y
_atom_site_fract_z
_atom_site_occupancy
Li1 Li 0.000 0.750 0.000 1
Li2 Li 0.000 0.250 0.000 1
Ac1 Ac 0.402 0.159 0.318 1
Ac2 Ac 0.598 0.841 0.682 1
Ac3 Ac 0.084 0.341 0.682 1
Ac4 Ac 0.916 0.659 0.318 1
Be1 Be 0.500 0.750 0.000 1
Be2 Be 0.500 0.250 0.000 1
Ir1 Ir 0.816 0.102 0.203 1
Ir2 Ir 0.387 0.602 0.203 1
Ir3 Ir 0.613 0.398 0.797 1
Ir4 Ir 0.184 0.898 0.797 1

(4)
# TbPuFeCu, optimized geometry, DFT PBE
# DOS at the Fermi energy	2.660	states/eV per atom
# electronic total energy	-0.286	Ha/atom
# energy of formation from the pure elements	86	meV per atom
data_TbPuFeCu
_cell_length_a 4.827
_cell_length_b 4.827
_cell_length_c 4.827
_cell_angle_alpha 60.00
_cell_angle_beta 60.00
_cell_angle_gamma 60.00
_space_group_name_H-M_alt 'P 1'
_space_group_IT_number 1
loop_
_space_group_symop_operation_xyz
'x,y,z'
loop_
_atom_site_label
_atom_site_type_symbol
_atom_site_fract_x
_atom_site_fract_y
_atom_site_fract_z
_atom_site_occupancy
Tb1 Tb 0.000 0.000 0.000 1
Fe1 Fe 0.750 0.750 0.750 1
Cu1 Cu 0.250 0.250 0.250 1
Pu1 Pu 0.500 0.500 0.500 1

(5)
# Dy4Tm3PuSe8, optimized geometry, DFT PBE
# DOS at the Fermi energy	0.801	states/eV per atom
# electronic total energy	-0.233	Ha/atom
# formation energy from raw total energies	-164	kJ per mole of atoms
data_Dy4Tm3PuSe8
_cell_length_a 8.118
_cell_length_b 8.124
_cell_length_c 8.117
_cell_angle_alpha 119.97
_cell_angle_beta 120.00
_cell_angle_gamma 90.00
_space_group_name_H-M_alt 'P 1'
_space_group_IT_number 1
loop_
_space_group_symop_operation_xyz
'x,y,z'
loop_
_atom_site_label
_atom_site_type_symbol
_atom_site_fract_x
_atom_site_fract_y
_atom_site_fract_z
_atom_site_occupancy
Dy1 Dy 0.500 0.000 0.000 1
Dy2 Dy 0.500 0.000 0.500 1
Dy3 Dy 0.000 0.000 0.000 1
Dy4 Dy 0.000 0.000 0.500 1
Tm1 Tm 0.500 0.500 0.000 1
Tm2 Tm 0.500 0.500 0.500 1
Tm3 Tm 0.000 0.500 0.500 1
Pu1 Pu 0.000 0.500 0.000 1
Se1 Se 0.251 0.748 0.996 1
Se2 Se 0.252 0.748 0.504 1
Se3 Se 0.252 0.256 0.504 1
Se4 Se 0.745 0.748 0.996 1
Se5 Se 0.255 0.252 0.004 1
Se6 Se 0.748 0.744 0.496 1
Se7 Se 0.748 0.252 0.496 1
Se8 Se 0.749 0.252 0.004 1

(6)
# Li2OsW, optimized geometry, DFT PBE
# DOS at the Fermi energy	0.586	states/eV per atom
# electronic total energy	-0.246	Ha/atom
# energy of formation from the pure elements	316	meV per atom
# energy above the most stable polymorph in this dataset	129	meV per atom
data_Li2OsW
_cell_length_a 5.032
_cell_length_b 5.032
_cell_length_c 4.640
_cell_angle_alpha 81.87
_cell_angle_beta 81.87
_cell_angle_gamma 30.62
_space_group_name_H-M_alt 'P 1'
_space_group_IT_number 1
loop_
_space_group_symop_operation_xyz
'x,y,z'
loop_
_atom_site_label
_atom_site_type_symbol
_atom_site_fract_x
_atom_site_fract_y
_atom_site_fract_z
_atom_site_occupancy
Li1 Li 0.995 0.995 0.009 1
Li2 Li 0.505 0.505 0.491 1
Os1 Os 0.250 0.250 0.250 1
W1 W 0.750 0.750 0.750 1

(7)
# Ga2AgAu5, optimized geometry, DFT PBE
# DOS at the Fermi energy	0.245	states/eV per atom
# electronic total energy	-0.119	Ha/atom
# energy of formation from the pure elements	-67	meV per atom
# energy above the most stable polymorph in this dataset	18	meV per atom
data_Ga2AgAu5
_cell_length_a 7.098
_cell_length_b 7.098
_cell_length_c 7.572
_cell_angle_alpha 117.95
_cell_angle_beta 117.95
_cell_angle_gamma 90.00
_space_group_name_H-M_alt 'P 1'
_space_group_IT_number 1
loop_
_space_group_symop_operation_xyz
'x,y,z'
loop_
_atom_site_label
_atom_site_type_symbol
_atom_site_fract_x
_atom_site_fract_y
_atom_site_fract_z
_atom_site_occupancy
Ga1 Ga 0.151 0.349 0.000 1
Ga2 Ga 0.651 0.151 0.000 1
Ga3 Ga 0.349 0.849 0.000 1
Ga4 Ga 0.849 0.651 0.000 1
Ag1 Ag 0.750 0.750 0.500 1
Ag2 Ag 0.250 0.250 0.500 1
Au1 Au 0.490 0.694 0.685 1
Au2 Au 0.806 0.010 0.315 1
Au3 Au 0.000 0.000 0.000 1
Au4 Au 0.500 0.500 0.000 1
Au5 Au 0.194 0.990 0.685 1
Au6 Au 0.694 0.194 0.685 1
Au7 Au 0.990 0.490 0.685 1
Au8 Au 0.306 0.806 0.315 1
Au9 Au 0.010 0.510 0.315 1
Au10 Au 0.510 0.306 0.315 1

(8)
# LiRhS2F, optimized geometry, DFT PBE
# DOS at the Fermi energy	0.920	states/eV per atom
# electronic total energy	-0.150	Ha/atom
# formation energy from raw total energies	-20	kJ per mole of atoms
data_LiRhS2F
_cell_length_a 4.583
_cell_length_b 3.236
_cell_length_c 4.583
_cell_angle_alpha 90.00
_cell_angle_beta 90.00
_cell_angle_gamma 90.00
_space_group_name_H-M_alt 'P 1'
_space_group_IT_number 1
loop_
_space_group_symop_operation_xyz
'x,y,z'
loop_
_atom_site_label
_atom_site_type_symbol
_atom_site_fract_x
_atom_site_fract_y
_atom_site_fract_z
_atom_site_occupancy
S1 S 0.000 0.000 0.500 1
S2 S 0.500 0.000 0.000 1
Li1 Li 0.000 0.000 0.000 1
Rh1 Rh 0.500 0.500 0.500 1
F1 F 0.000 0.500 0.000 1

(9)
# NdTcPbO6, optimized geometry, DFT PBE
# electronic total energy	-0.263	Ha/atom
# formation energy from raw total energies	-170	kJ per mole of atoms
data_NdTcPbO6
_cell_length_a 5.726
_cell_length_b 5.726
_cell_length_c 5.070
_cell_angle_alpha 90.00
_cell_angle_beta 90.00
_cell_angle_gamma 60.00
_space_group_name_H-M_alt 'P 1'
_space_group_IT_number 1
loop_
_space_group_symop_operation_xyz
'x,y,z'
loop_
_atom_site_label
_atom_site_type_symbol
_atom_site_fract_x
_atom_site_fract_y
_atom_site_fract_z
_atom_site_occupancy
Nd1 Nd 0.667 0.667 0.500 1
Tc1 Tc 0.333 0.333 0.500 1
Pb1 Pb 0.000 0.000 0.000 1
O1 O 0.055 0.340 0.285 1
O2 O 0.340 0.055 0.715 1
O3 O 0.605 0.340 0.715 1
O4 O 0.055 0.605 0.715 1
O5 O 0.340 0.605 0.285 1
O6 O 0.605 0.055 0.285 1

(10)
# Sm3ZnBi, optimized geometry, DFT PBE
# DOS at the Fermi energy	0.912	states/eV per atom
# electronic total energy	-0.155	Ha/atom
# energy of formation from the pure elements	-363	meV per atom
data_Sm3ZnBi
_cell_length_a 6.488
_cell_length_b 10.251
_cell_length_c 10.252
_cell_angle_alpha 114.47
_cell_angle_beta 90.00
_cell_angle_gamma 90.00
_space_group_name_H-M_alt 'P 1'
_space_group_IT_number 1
loop_
_space_group_symop_operation_xyz
'x,y,z'
loop_
_atom_site_label
_atom_site_type_symbol
_atom_site_fract_x
_atom_site_fract_y
_atom_site_fract_z
_atom_site_occupancy
Sm1 Sm 0.000 0.250 0.250 1
Sm2 Sm 0.000 0.750 0.750 1
Sm3 Sm 0.500 0.250 0.250 1
Sm4 Sm 0.500 0.750 0.750 1
Sm5 Sm 0.250 0.631 0.369 1
Sm6 Sm 0.750 0.369 0.631 1
Sm7 Sm 0.750 0.869 0.131 1
Sm8 Sm 0.250 0.131 0.869 1
Sm9 Sm 0.750 0.933 0.567 1
Sm10 Sm 0.250 0.067 0.433 1
Sm11 Sm 0.250 0.567 0.933 1
Sm12 Sm 0.750 0.433 0.067 1
Zn1 Zn 0.250 0.400 0.100 1
Zn2 Zn 0.750 0.600 0.900 1
Zn3 Zn 0.750 0.100 0.400 1
Zn4 Zn 0.250 0.900 0.600 1
Bi1 Bi 0.750 0.575 0.425 1
Bi2 Bi 0.250 0.425 0.575 1
Bi3 Bi 0.250 0.925 0.075 1
Bi4 Bi 0.750 0.075 0.925 1

(11)
# LiTl2TeO6, optimized geometry, DFT PBE
# DOS at the Fermi energy	0.254	states/eV per atom
# electronic total energy	-0.182	Ha/atom
# formation energy from raw total energies	-97	kJ per mole of atoms
data_LiTl2TeO6
_cell_length_a 5.649
_cell_length_b 5.650
_cell_length_c 6.304
_cell_angle_alpha 63.44
_cell_angle_beta 63.45
_cell_angle_gamma 59.99
_space_group_name_H-M_alt 'P 1'
_space_group_IT_number 1
loop_
_space_group_symop_operation_xyz
'x,y,z'
loop_
_atom_site_label
_atom_site_type_symbol
_atom_site_fract_x
_atom_site_fract_y
_atom_site_fract_z
_atom_site_occupancy
Li1 Li 0.758 0.758 0.727 1
Tl1 Tl 0.536 0.536 0.393 1
Tl2 Tl 0.017 0.017 0.949 1
Te1 Te 0.332 0.332 0.005 1
O1 O 0.574 0.229 0.202 1
O2 O 0.229 0.995 0.202 1
O3 O 0.995 0.574 0.202 1
O4 O 0.421 0.680 0.779 1
O5 O 0.680 0.119 0.779 1
O6 O 0.119 0.422 0.779 1

(12)
# BaMg3P, optimized geometry, DFT PBE
# DOS at the Fermi energy	1.308	states/eV per atom
# electronic total energy	-0.036	Ha/atom
# energy of formation from the pure elements	1438	meV per atom
# energy above the most stable polymorph in this dataset	1476	meV per atom
data_BaMg3P
_cell_length_a 6.805
_cell_length_b 6.805
_cell_length_c 6.805
_cell_angle_alpha 90.00
_cell_angle_beta 90.00
_cell_angle_gamma 90.00
_space_group_name_H-M_alt 'P 1'
_space_group_IT_number 1
loop_
_space_group_symop_operation_xyz
'x,y,z'
loop_
_atom_site_label
_atom_site_type_symbol
_atom_site_fract_x
_atom_site_fract_y
_atom_site_fract_z
_atom_site_occupancy
P1 P 0.500 0.500 0.500 1
Mg1 Mg 0.000 0.500 0.000 1
Mg2 Mg 0.000 0.000 0.500 1
Mg3 Mg 0.500 0.000 0.000 1
Ba1 Ba 0.000 0.000 0.000 1

(13)
# Nd6BiSe4, optimized geometry, DFT PBE
# DOS at the Fermi energy	0.927	states/eV per atom
# electronic total energy	-0.210	Ha/atom
# formation energy from raw total energies	-145	kJ per mole of atoms
data_Nd6BiSe4
_cell_length_a 4.269
_cell_length_b 7.224
_cell_length_c 21.644
_cell_angle_alpha 90.00
_cell_angle_beta 90.00
_cell_angle_gamma 107.19
_space_group_name_H-M_alt 'P 1'
_space_group_IT_number 1
loop_
_space_group_symop_operation_xyz
'x,y,z'
loop_
_atom_site_label
_atom_site_type_symbol
_atom_site_fract_x
_atom_site_fract_y
_atom_site_fract_z
_atom_site_occupancy
Nd1 Nd 0.500 0.000 0.000 1
Nd2 Nd 0.500 0.000 0.500 1
Nd3 Nd 0.049 0.099 0.339 1
Nd4 Nd 0.951 0.901 0.661 1
Nd5 Nd 0.951 0.901 0.839 1
Nd6 Nd 0.049 0.099 0.161 1
Nd7 Nd 0.773 0.546 0.409 1
Nd8 Nd 0.227 0.454 0.591 1
Nd9 Nd 0.227 0.454 0.909 1
Nd10 Nd 0.773 0.546 0.091 1
Nd11 Nd 0.345 0.690 0.250 1
Nd12 Nd 0.655 0.310 0.750 1
Bi1 Bi 0.670 0.339 0.250 1
Bi2 Bi 0.330 0.661 0.750 1
Se1 Se 0.859 0.717 0.537 1
Se2 Se 0.413 0.826 0.123 1
Se3 Se 0.141 0.283 0.463 1
Se4 Se 0.587 0.174 0.877 1
Se5 Se 0.859 0.717 0.963 1
Se6 Se 0.141 0.283 0.037 1
Se7 Se 0.587 0.174 0.623 1
Se8 Se 0.413 0.826 0.377 1

(14)
# PmMnSi, optimized geometry, DFT PBE
# DOS at the Fermi energy	0.884	states/eV per atom
# electronic total energy	-0.241	Ha/atom
# formation energy from raw total energies	-11	kJ per mole of atoms
# energy above the most stable polymorph in this dataset	405	meV per atom
data_PmMnSi
_cell_length_a 7.440
_cell_length_b 7.440
_cell_length_c 5.881
_cell_angle_alpha 50.76
_cell_angle_beta 50.76
_cell_angle_gamma 60.00
_space_group_name_H-M_alt 'P 1'
_space_group_IT_number 1
loop_
_space_group_symop_operation_xyz
'x,y,z'
loop_
_atom_site_label
_atom_site_type_symbol
_atom_site_fract_x
_atom_site_fract_y
_atom_site_fract_z
_atom_site_occupancy
Mn1 Mn 0.227 0.227 0.319 1
Mn2 Mn 0.403 0.403 0.792 1
Mn3 Mn 0.579 0.579 0.262 1
Pm1 Pm 0.780 0.402 0.785 1
Pm2 Pm 0.033 0.780 0.785 1
Pm3 Pm 0.402 0.033 0.785 1
Si1 Si 0.528 0.910 0.276 1
Si2 Si 0.910 0.286 0.276 1
Si3 Si 0.286 0.528 0.276 1